No. 1
# Li7B18O | Alexandria | PBEsol | relaxed
# ΔE_f (raw) = -0.38 eV per atom
# DOS(E_F) = 2.73 states/eV/f.u.
data_Li7B18O
_symmetry_space_group_name_H-M 'P 1 m 1'
_symmetry_Int_Tables_number 6
_cell_length_a 8.1414
_cell_length_b 4.1000
_cell_length_c 8.1424
_cell_angle_alpha 90.00
_cell_angle_beta 119.91
_cell_angle_gamma 90.00
loop_
_symmetry_equiv_pos_as_xyz
'x,y,z'
'x,-y,z'
loop_
_atom_site_label
_atom_site_type_symbol
_atom_site_fract_x
_atom_site_fract_y
_atom_site_fract_z
Li1 Li 0.0000 0.0000 0.0000
Li2 Li 0.0675 0.0000 0.6012
Li3 Li 0.2492 0.0000 0.4058
Li4 Li 0.3276 0.5000 0.6700
Li5 Li 0.4082 0.0000 0.9357
Li6 Li 0.5902 0.0000 0.7395
Li7 Li 0.6596 0.0000 0.3427
B1 B 0.0022 0.5000 0.2210
B2 B 0.0037 0.5000 0.7937
B3 B 0.2061 0.5000 0.2187
B4 B 0.2082 0.5000 0.9980
B5 B 0.3301 0.2015 0.1717
B6 B 0.4520 0.5000 0.3453
B7 B 0.4541 0.5000 0.1246
B8 B 0.6565 0.5000 0.5496
B9 B 0.6581 0.5000 0.1224
B10 B 0.7805 0.5000 0.9995
B11 B 0.7829 0.5000 0.7956
B12 B 0.8302 0.1995 0.1717
B13 B 0.8301 0.2017 0.6716
B14 B 0.8773 0.5000 0.5477
B15 B 0.8799 0.5000 0.3439
O1 O 0.3289 0.0000 0.6707

---

No. 2
# Sc2FeW | Alexandria | PBEsol | relaxed
# DOS(E_F) = 5.09 states/eV/f.u.
# DFT formation energy = 395 meV per atom
# Energy above the lowest structure with this stoichiometry = 148.1 meV/atom
data_Sc2FeW
_symmetry_space_group_name_H-M 'P 4/m m m'
_symmetry_Int_Tables_number 123
_symmetry_space_group_name_Hall '-P 4 2'
_cell_length_a 4.0006
_cell_length_b 4.0006
_cell_length_c 4.1698
_cell_angle_alpha 90.00
_cell_angle_beta 90.00
_cell_angle_gamma 90.00
loop_
_atom_site_label
_atom_site_type_symbol
_atom_site_fract_x
_atom_site_fract_y
_atom_site_fract_z
Sc1 Sc 0.0000 0.5000 0.0000
Fe1 Fe 0.0000 0.0000 0.5000
W1 W 0.5000 0.5000 0.5000

---

No. 3
# CrSe3I | Alexandria | PBEsol | relaxed
# ΔE_f (raw) = 0.18 eV per atom
# DOS(E_F) = 5.56 states/eV/f.u.
data_CrSe3I
_symmetry_space_group_name_H-M 'P m -3 m'
_symmetry_Int_Tables_number 221
_symmetry_space_group_name_Hall '-P 4 2 3'
_cell_length_a 4.7297
_cell_length_b 4.7297
_cell_length_c 4.7297
_cell_angle_alpha 90.00
_cell_angle_beta 90.00
_cell_angle_gamma 90.00
loop_
_atom_site_label
_atom_site_type_symbol
_atom_site_fract_x
_atom_site_fract_y
_atom_site_fract_z
Cr1 Cr 0.0000 0.0000 0.0000
Se1 Se 0.0000 0.0000 0.5000
I1 I 0.5000 0.5000 0.5000

---

No. 4
# BaCa4La | Alexandria | PBEsol | relaxed
# DOS(E_F) = 10.32 states/eV/f.u.
# DFT formation energy = 186 meV per atom
data_BaCa4La
_symmetry_space_group_name_H-M 'F -4 3 m'
_symmetry_Int_Tables_number 216
_symmetry_space_group_name_Hall 'F -4 2 3'
_cell_length_a 10.2127
_cell_length_b 10.2127
_cell_length_c 10.2127
_cell_angle_alpha 90.00
_cell_angle_beta 90.00
_cell_angle_gamma 90.00
loop_
_atom_site_label
_atom_site_type_symbol
_atom_site_fract_x
_atom_site_fract_y
_atom_site_fract_z
Ba1 Ba 0.0000 0.0000 0.0000
Ca1 Ca 0.1240 0.1240 0.6240
La1 La 0.2500 0.2500 0.2500

---

No. 5
# NaSc3Mn | Alexandria | PBEsol | relaxed
# DOS(E_F) = 7.15 states/eV/f.u.
# DFT formation energy = 1376 meV per atom
data_NaSc3Mn
_symmetry_space_group_name_H-M 'P m -3 m'
_symmetry_Int_Tables_number 221
_symmetry_space_group_name_Hall '-P 4 2 3'
_cell_length_a 5.0429
_cell_length_b 5.0429
_cell_length_c 5.0429
_cell_angle_alpha 90.00
_cell_angle_beta 90.00
_cell_angle_gamma 90.00
loop_
_atom_site_label
_atom_site_type_symbol
_atom_site_fract_x
_atom_site_fract_y
_atom_site_fract_z
Na1 Na 0.0000 0.0000 0.0000
Sc1 Sc 0.0000 0.0000 0.5000
Mn1 Mn 0.5000 0.5000 0.5000

---

No. 6
# Zr2CuHg | Alexandria | PBEsol | relaxed
# DOS(E_F) = 4.36 states/eV/f.u.
# DFT formation energy = -134 meV per atom
data_Zr2CuHg
_symmetry_space_group_name_H-M 'A m m 2'
_symmetry_Int_Tables_number 38
_cell_length_a 4.1998
_cell_length_b 3.2701
_cell_length_c 11.1798
_cell_angle_alpha 90.00
_cell_angle_beta 90.00
_cell_angle_gamma 90.00
loop_
_symmetry_equiv_pos_as_xyz
'x,y,z'
'-x,-y,z'
'-x,y,z'
'x,-y,z'
'x,y+1/2,z+1/2'
'-x,-y+1/2,z+1/2'
'-x,y+1/2,z+1/2'
'x,-y+1/2,z+1/2'
loop_
_atom_site_label
_atom_site_type_symbol
_atom_site_fract_x
_atom_site_fract_y
_atom_site_fract_z
Zr1 Zr 0.0000 0.0000 0.0000
Zr2 Zr 0.5000 0.0000 0.3343
Cu1 Cu 0.0000 0.0000 0.7506
Hg1 Hg 0.5000 0.0000 0.6073

---

No. 7
# Sn2PRuO | Alexandria | PBEsol | relaxed
# ΔE_f (raw) = 0.20 eV per atom
# DOS(E_F) = 3.74 states/eV/f.u.
data_Sn2PRuO
_symmetry_space_group_name_H-M 'P 4/m m m'
_symmetry_Int_Tables_number 123
_symmetry_space_group_name_Hall '-P 4 2'
_cell_length_a 4.9870
_cell_length_b 4.9870
_cell_length_c 3.7296
_cell_angle_alpha 90.00
_cell_angle_beta 90.00
_cell_angle_gamma 90.00
loop_
_atom_site_label
_atom_site_type_symbol
_atom_site_fract_x
_atom_site_fract_y
_atom_site_fract_z
Sn1 Sn 0.0000 0.5000 0.0000
P1 P 0.0000 0.0000 0.5000
Ru1 Ru 0.5000 0.5000 0.5000
O1 O 0.5000 0.5000 0.0000

---

No. 8
# Rb8HfMo6O24 | Alexandria | PBEsol | relaxed
# ΔE_f (raw) = -2.22 eV per atom
# DOS(E_F) = 0.00 states/eV/f.u.
data_Rb8HfMo6O24
_symmetry_space_group_name_H-M 'C 1 2/m 1'
_symmetry_Int_Tables_number 12
_cell_length_a 9.8987
_cell_length_b 18.8647
_cell_length_c 7.9065
_cell_angle_alpha 90.00
_cell_angle_beta 107.28
_cell_angle_gamma 90.00
loop_
_symmetry_equiv_pos_as_xyz
'x,y,z'
'-x,-y,-z'
'-x,y,-z'
'x,-y,z'
'x+1/2,y+1/2,z'
'-x+1/2,-y+1/2,-z'
'-x+1/2,y+1/2,-z'
'x+1/2,-y+1/2,z'
loop_
_atom_site_label
_atom_site_type_symbol
_atom_site_fract_x
_atom_site_fract_y
_atom_site_fract_z
Rb1 Rb 0.0000 0.1608 0.0000
Rb2 Rb 0.1914 0.1756 0.6105
Rb3 Rb 0.2112 0.5000 0.1559
Hf1 Hf 0.0000 0.5000 0.5000
Mo1 Mo 0.1028 0.3444 0.7944
Mo2 Mo 0.1109 0.0000 0.2934
O1 O 0.0061 0.2697 0.2616
O2 O 0.0093 0.0747 0.3078
O3 O 0.0088 0.4247 0.6922
O4 O 0.1476 0.0000 0.0920
O5 O 0.1729 0.3546 0.0244
O6 O 0.2169 0.5000 0.5334
O7 O 0.2423 0.3289 0.7080

---

No. 9
# LiRh2Pb2 | Alexandria | PBEsol | relaxed
# DOS(E_F) = 2.86 states/eV/f.u.
# DFT formation energy = -100 meV per atom
data_LiRh2Pb2
_symmetry_space_group_name_H-M 'P 4/m b m'
_symmetry_Int_Tables_number 127
_symmetry_space_group_name_Hall '-P 4 2ab'
_cell_length_a 7.4104
_cell_length_b 7.4104
_cell_length_c 3.3833
_cell_angle_alpha 90.00
_cell_angle_beta 90.00
_cell_angle_gamma 90.00
loop_
_atom_site_label
_atom_site_type_symbol
_atom_site_fract_x
_atom_site_fract_y
_atom_site_fract_z
Li1 Li 0.0000 0.0000 0.0000
Rh1 Rh 0.1365 0.3635 0.0000
Pb1 Pb 0.1624 0.6624 0.5000

---

No. 10
# LaZnTc2 | Alexandria | PBEsol | relaxed
# DOS(E_F) = 5.63 states/eV/f.u.
# DFT formation energy = 519 meV per atom
data_LaZnTc2
_symmetry_space_group_name_H-M 'P m m m'
_symmetry_Int_Tables_number 47
_cell_length_a 3.1324
_cell_length_b 4.4339
_cell_length_c 4.9824
_cell_angle_alpha 90.00
_cell_angle_beta 90.00
_cell_angle_gamma 90.00
loop_
_symmetry_equiv_pos_as_xyz
'x,y,z'
'-x,-y,-z'
'-x,-y,z'
'x,y,-z'
'x,-y,-z'
'-x,y,z'
'-x,y,-z'
'x,-y,z'
loop_
_atom_site_label
_atom_site_type_symbol
_atom_site_fract_x
_atom_site_fract_y
_atom_site_fract_z
La1 La 0.0000 0.0000 0.0000
Zn1 Zn 0.5000 0.0000 0.5000
Tc1 Tc 0.0000 0.5000 0.5000
Tc2 Tc 0.5000 0.5000 0.0000

---

No. 11
# SiB3 | Alexandria | PBEsol | relaxed
# ΔE_f (raw) = -0.06 eV per atom
# DOS(E_F) = 0.00 states/eV/f.u.
data_SiB3
_symmetry_space_group_name_H-M 'I m m a'
_symmetry_Int_Tables_number 74
_symmetry_space_group_name_Hall '-I 2b 2'
_cell_length_a 8.3140
_cell_length_b 12.5441
_cell_length_c 6.2052
_cell_angle_alpha 90.00
_cell_angle_beta 90.00
_cell_angle_gamma 90.00
loop_
_atom_site_label
_atom_site_type_symbol
_atom_site_fract_x
_atom_site_fract_y
_atom_site_fract_z
Si1 Si 0.0000 0.1542 0.0022
Si2 Si 0.2320 0.2500 0.5635
B1 B 0.0000 0.0692 0.7280
B2 B 0.0000 0.0741 0.2766
B3 B 0.1111 0.1126 0.5025
B4 B 0.1756 0.0015 0.3460

---

No. 12
# Ca2CuRu | Alexandria | PBEsol | relaxed
# DOS(E_F) = 4.38 states/eV/f.u.
# DFT formation energy = 235 meV per atom
data_Ca2CuRu
_symmetry_space_group_name_H-M 'P 4 m m'
_symmetry_Int_Tables_number 99
_cell_length_a 3.3470
_cell_length_b 3.3470
_cell_length_c 8.0014
_cell_angle_alpha 90.00
_cell_angle_beta 90.00
_cell_angle_gamma 90.00
loop_
_symmetry_equiv_pos_as_xyz
'x,y,z'
'-y,x,z'
'-x,-y,z'
'y,-x,z'
'-x,y,z'
'y,x,z'
'x,-y,z'
'-y,-x,z'
loop_
_atom_site_label
_atom_site_type_symbol
_atom_site_fract_x
_atom_site_fract_y
_atom_site_fract_z
Ca1 Ca 0.0000 0.0000 0.0000
Ca2 Ca 0.5000 0.5000 0.4180
Cu1 Cu 0.0000 0.0000 0.6528
Ru1 Ru 0.5000 0.5000 0.7602